(1)
VASP calculation (PBE) on crystalline TiTeN at its relaxed geometry.

abc: 5.535 2.911 8.270
angles: 90.00 90.00 90.00
Space group Pmma (No. 51)
Symmetry-distinct sites (fractional):
Ti: 0.000 0.000 0.000 x2
Te: 0.250 0.000 0.318 x2
N: 0.250 0.500 0.960 x2

Results
As for the relative energy among the computed polymorphs: 117.4 meV per atom. As for the formation energy (no corrections): -0.855 eV per atom.

***

(2)
VASP calculation (PBE) on crystalline TiTe3N at its relaxed geometry.

abc: 4.722 4.722 4.722
angles: 90.00 90.00 90.00
Space group Pm-3m (No. 221)
Symmetry-distinct sites (fractional):
Ti: 0.000 0.000 0.000 x1
Te: 0.000 0.500 0.500 x3
N: 0.500 0.500 0.500 x1

Results
As for the relative energy among the computed polymorphs: 0.0 meV per atom. As for the formation energy (no corrections): 0.623 eV per atom.

***

(3)
VASP calculation (PBE) on crystalline TiTeN at its relaxed geometry.

abc: 16.767 3.354 4.152
angles: 90.00 103.70 90.00
Space group C2/m (No. 12)
Symmetry-distinct sites (fractional):
Ti: 0.216 0.000 0.219 x4
Te: 0.072 0.500 0.886 x4
N: 0.218 0.000 0.715 x4

Results
As for the relative energy among the computed polymorphs: 97.6 meV per atom. As for the formation energy (no corrections): -0.875 eV per atom.

***

(4)
VASP calculation (PBE) on crystalline TiTe2N2 at its relaxed geometry.

abc: 5.539 5.539 3.694
angles: 90.00 90.00 90.00
Space group P4/mmm (No. 123)
Symmetry-distinct sites (fractional):
Ti: 0.000 0.000 0.000 x1
Te: 0.000 0.500 0.000 x2
N: 0.000 0.000 0.500 x1
N: 0.500 0.500 0.500 x1

Results
As for the relative energy among the computed polymorphs: 518.4 meV per atom. As for the formation energy (no corrections): 1.044 eV per atom.

***

(5)
VASP calculation (PBE) on crystalline Ti3TeN at its relaxed geometry.

abc: 5.080 5.080 5.080
angles: 90.00 90.00 90.00
Space group Pm-3m (No. 221)
Symmetry-distinct sites (fractional):
Ti: 0.000 0.000 0.500 x3
Te: 0.000 0.000 0.000 x1
N: 0.500 0.500 0.500 x1

Results
As for the relative energy among the computed polymorphs: 2759.9 meV per atom. As for the formation energy (no corrections): 1.767 eV per atom.

***

(6)
VASP calculation (PBE) on crystalline TiTe2N2 at its relaxed geometry.

abc: 4.053 4.053 5.978
angles: 90.00 90.00 90.00
Space group P4/mmm (No. 123)
Symmetry-distinct sites (fractional):
Ti: 0.000 0.000 0.000 x1
Te: 0.000 0.000 0.500 x1
Te: 0.500 0.500 0.500 x1
N: 0.000 0.500 0.000 x2

Results
As for the relative energy among the computed polymorphs: 0.0 meV per atom. As for the formation energy (no corrections): 0.525 eV per atom.

***

(7)
VASP calculation (PBE) on crystalline TiTeN at its relaxed geometry.

abc: 3.159 23.468 4.245
angles: 90.00 90.00 90.00
Space group Cmcm (No. 63)
Symmetry-distinct sites (fractional):
Ti: 0.000 0.094 0.250 x4
Te: 0.000 0.172 0.750 x4
N: 0.000 0.444 0.750 x4

Results
As for the relative energy among the computed polymorphs: 581.6 meV per atom. As for the formation energy (no corrections): -0.391 eV per atom.

***

(8)
VASP calculation (PBE) on crystalline TiTeN at its relaxed geometry.

abc: 5.518 2.872 9.223
angles: 90.00 90.00 90.00
Space group Pmma (No. 51)
Symmetry-distinct sites (fractional):
Ti: 0.250 0.000 0.042 x2
Te: 0.250 0.000 0.339 x2
N: 0.000 0.500 0.000 x2

Results
As for the relative energy among the computed polymorphs: 93.8 meV per atom. As for the formation energy (no corrections): -0.879 eV per atom.